No. 1
Compound: GdBi2
Source: OQMD
Functional: GGA-PBE
Structure: optimized geometry

For the density, the calculation gives 10.0 g cm⁻³. The value obtained for the electronic total energy is -4.340 eV/atom. The magnetic moment comes out at 0.01 μB per formula unit.

The structure belongs to space group Fd-3m (No. 227, origin choice 2); the cell edges are 9.150, 9.150 and 9.150 Å and the angles 90.00°, 90.00° and 90.00°. The distinct sites, in fractional coordinates, are Gd at (0.125, 0.125, 0.125) and Bi at (0.000, 0.000, 0.500).



No. 2
Compound: GdBi2
Source: OQMD
Functional: GGA-PBE
Structure: optimized geometry

For the density, the calculation gives 10.2 g cm⁻³. The value obtained for the electronic total energy is -4.627 eV/atom. The magnetic moment comes out at 0.00 μB per formula unit.

The structure belongs to space group C2/m (No. 12); the cell edges are 15.387, 4.832 and 5.018 Å and the angles 90.00°, 90.83° and 90.00°. The distinct sites, in fractional coordinates, are Gd at (0.250, 0.000, 0.250), Bi at (0.098, 0.000, 0.749) and Bi at (0.099, 0.500, 0.248).